Computed, not measured: a relaxed structure of Be3AsH at the PBEsol level of DFT.

Unit cell a=4.201 b=4.201 c=4.201 alpha=90.00 beta=90.00 gamma=90.00
Sites, in units of the cell vectors:
Be (0.000, 0.000, 0.500)
Be (0.000, 0.500, 0.000)
Be (0.500, 0.000, 0.000)
As (0.000, 0.000, 0.000)
H (0.500, 0.500, 0.500)

Results
Space group ... Pm-3m, No. 221

=====

Computed, not measured: a relaxed structure of BeAsH2Pd at the PBEsol level of DFT.

Unit cell a=3.383 b=3.383 c=4.715 alpha=90.00 beta=90.00 gamma=90.00
Sites, in units of the cell vectors:
Be (0.000, 0.000, 0.000)
As (0.500, 0.500, 0.000)
H (0.000, 0.500, 0.500)
H (0.500, 0.000, 0.500)
Pd (0.000, 0.000, 0.500)

Results
Space group ... P4/mmm, No. 123

=====

Computed, not measured: a relaxed structure of BeAs2HSe at the PBEsol level of DFT.

Unit cell a=3.685 b=3.685 c=5.851 alpha=90.00 beta=90.00 gamma=90.00
Sites, in units of the cell vectors:
Be (0.000, 0.000, 0.000)
As (0.000, 0.500, 0.500)
As (0.500, 0.000, 0.500)
H (0.500, 0.500, 0.500)
Se (0.500, 0.500, 0.000)

Results
Space group ... P4/mmm, No. 123

=====

So what do the calculations give for electronic total energy? Going down the list: -0.2055; -0.2961; -0.2657 Ry per atom.